Here is a relaxed structure of Zn2CdSi from Alexandria via LeMat-Bulk. Energies are from PBE.

Output
Space group: I4/mmm (139)
DFT total energy (eV/cell): -7.8
Formation energy (no corrections) (eV/atom): 0.27
Excess energy over the best structure of this formula in the dataset (kJ/mol of formula units): 21

POSCAR file:
```
Zn2CdSi
1.0
5.0311 -0.0014 0.0000
1.6731 4.7447 0.0000
-3.3521 -2.3717 2.9070
Zn Si Cd
2 1 1
direct
0.0000 0.0000 0.0000
0.5000 0.5000 0.0000
0.7500 0.2500 0.5000
0.2500 0.7500 0.5000
```

=====

Here is a relaxed structure of ZnCdSi2 from Alexandria via LeMat-Bulk. Energies are from PBE.

Output
Space group: P4/mmm (123)
DFT total energy (eV/cell): -11.3
Formation energy (no corrections) (eV/atom): 0.43
Excess energy over the best structure of this formula in the dataset (kJ/mol of formula units): 61

POSCAR file:
```
ZnCdSi2
1.0
2.8819 0.0000 0.0000
0.0000 2.8819 0.0000
0.0000 0.0000 8.4931
Cd Zn Si
1 1 2
direct
0.5000 0.5000 0.7500
0.5000 0.5000 0.2500
0.0000 0.0000 0.0300
0.0000 0.0000 0.4700
```

=====

Here is a relaxed structure of ZnCdSi2 from Alexandria via LeMat-Bulk. Energies are from PBE.

Output
Space group: Cmmm (65)
DFT total energy (eV/cell): -11.3
Formation energy (no corrections) (eV/atom): 0.43
Excess energy over the best structure of this formula in the dataset (kJ/mol of formula units): 62

POSCAR file:
```
ZnCdSi2
1.0
-4.8281 -0.8943 2.5902
2.2669 -3.8650 -3.2775
1.3290 -1.0220 2.1244
Zn Si Cd
1 2 1
direct
0.5000 0.0000 0.5000
0.5000 0.5000 0.0000
0.0000 0.0000 0.0000
0.0000 0.5000 0.5000
```

=====

Here is a relaxed structure of Zn2CdSi from Alexandria via LeMat-Bulk. Energies are from PBE.

Output
Space group: Cmm2 (35)
DFT total energy (eV/cell): -7.9
Formation energy (no corrections) (eV/atom): 0.25
Excess energy over the best structure of this formula in the dataset (kJ/mol of formula units): 12

POSCAR file:
```
Zn2CdSi
1.0
-2.2171 -2.0127 0.0330
2.0308 0.3746 2.1687
-5.8624 6.5293 4.3619
Cd Zn Si
1 2 1
direct
0.0000 0.0000 0.4945
0.0000 0.0000 0.0015
0.5000 0.5000 0.2305
0.5000 0.5000 0.7734
```

=====

Here is a relaxed structure of ZnCdSi2 from Alexandria via LeMat-Bulk. Energies are from PBE.

Output
Space group: P4mm (99)
DFT total energy (eV/cell): -11.7
Formation energy (no corrections) (eV/atom): 0.35
Excess energy over the best structure of this formula in the dataset (kJ/mol of formula units): 29

POSCAR file:
```
ZnCdSi2
1.0
-1.6937 2.4815 1.5338
0.0412 -1.7530 2.8817
5.5551 2.7911 1.6184
Si Zn Cd
2 1 1
direct
0.0000 0.0000 0.0846
0.5000 0.5000 0.1939
0.0000 0.0000 0.4832
0.5000 0.5000 0.7383
```

=====

Here is a relaxed structure of ZnCdSi2 from Alexandria via LeMat-Bulk. Energies are from PBE.

Output
Space group: Cmm2 (35)
DFT total energy (eV/cell): -11.5
Formation energy (no corrections) (eV/atom): 0.40
Excess energy over the best structure of this formula in the dataset (kJ/mol of formula units): 48

POSCAR file:
```
ZnCdSi2
1.0
-2.5713 0.3160 1.0386
1.4367 -1.3571 1.9709
2.5903 8.3610 3.8688
Zn Si Cd
1 2 1
direct
0.0000 0.0000 0.4687
0.0000 0.0000 0.0425
0.5000 0.5000 0.2417
0.5000 0.5000 0.7472
```

=====

Here is a relaxed structure of Zn2CdSi from Alexandria via LeMat-Bulk. Energies are from PBE.

Output
Space group: C2/m (12)
DFT total energy (eV/cell): -8.0
Formation energy (no corrections) (eV/atom): 0.23
Excess energy over the best structure of this formula in the dataset (kJ/mol of formula units): 7

POSCAR file:
```
Zn2CdSi
1.0
6.8458 -0.0352 -0.1132
-2.8498 4.1947 0.0839
1.1462 0.7502 2.4159
Si Zn Cd
1 2 1
direct
0.5000 0.5000 0.0000
0.5000 0.0000 0.5000
0.0000 0.0000 0.0000
0.0000 0.5000 0.5000
```

=====

Here is a relaxed structure of Zn2CdSi from Alexandria via LeMat-Bulk. Energies are from PBE.

Output
Space group: R-3m (166)
DFT total energy (eV/cell): -8.0
Formation energy (no corrections) (eV/atom): 0.21
Excess energy over the best structure of this formula in the dataset (kJ/mol of formula units): 0

POSCAR file:
```
Zn2CdSi
1.0
-2.3451 8.1783 7.3096
-2.5023 6.0945 9.0779
-0.0830 7.2611 8.5489
Zn Si Cd
2 1 1
direct
0.0070 0.0070 0.0070
0.4930 0.4930 0.4930
0.7500 0.7500 0.7500
0.2500 0.2500 0.2500
```

=====

Here is a relaxed structure of Zn2CdSi from Alexandria via LeMat-Bulk. Energies are from PBE.

Output
Space group: Imm2 (44)
DFT total energy (eV/cell): -7.9
Formation energy (no corrections) (eV/atom): 0.23
Excess energy over the best structure of this formula in the dataset (kJ/mol of formula units): 8

POSCAR file:
```
Zn2CdSi
1.0
6.5897 0.2921 -0.1050
4.2088 5.0788 0.1050
-4.7832 -3.9241 2.2897
Cd Zn Si
1 2 1
direct
0.4657 0.4657 0.0000
0.0511 0.0511 0.0000
0.7394 0.2394 0.5000
0.2438 0.7438 0.5000
```

=====

Here is a relaxed structure of ZnCdSi2 from Alexandria via LeMat-Bulk. Energies are from PBE.

Output
Space group: F-43m (216)
DFT total energy (eV/cell): -11.1
Formation energy (no corrections) (eV/atom): 0.49
Excess energy over the best structure of this formula in the dataset (kJ/mol of formula units): 83

POSCAR file:
```
ZnCdSi2
1.0
-2.8313 -1.0658 3.5552
1.5664 -2.6313 3.5234
0.7093 1.9072 4.2013
Si Zn Cd
2 1 1
direct
0.0000 0.0000 0.0000
0.2500 0.2500 0.2500
0.7500 0.7500 0.7500
0.5000 0.5000 0.5000
```

=====

Here is a relaxed structure of ZnCdSi2 from Alexandria via LeMat-Bulk. Energies are from PBE.

Output
Space group: I-42d (122)
DFT total energy (eV/cell): -23.3
Formation energy (no corrections) (eV/atom): 0.34
Excess energy over the best structure of this formula in the dataset (kJ/mol of formula units): 27

POSCAR file:
```
ZnCdSi2
1.0
-0.0129 4.0047 -1.6714
-4.3013 0.2095 0.5351
-1.0618 5.2683 6.9979
Cd Si Zn
2 4 2
direct
0.0000 0.0000 0.0000
0.7500 0.2500 0.5000
0.8750 0.7972 0.7500
0.3750 0.4528 0.7500
0.2028 0.6250 0.2500
0.5472 0.1250 0.2500
0.2500 0.7500 0.5000
0.5000 0.5000 0.0000
```

=====

Here is a relaxed structure of Zn2Cd2Si from Alexandria via LeMat-Bulk. Energies are from PBE.

Output
Space group: P4/mbm (127)
DFT total energy (eV/cell): -16.5
Formation energy (no corrections) (eV/atom): 0.31

POSCAR file:
```
Zn2Cd2Si
1.0
8.3636 0.0000 0.0000
0.0000 8.3636 0.0000
0.0000 0.0000 2.7773
Zn Cd Si
4 4 2
direct
0.3886 0.1114 0.5000
0.6114 0.8886 0.5000
0.8886 0.3886 0.5000
0.1114 0.6114 0.5000
0.6868 0.1868 0.0000
0.8132 0.6868 0.0000
0.1868 0.3132 0.0000
0.3132 0.8132 0.0000
0.5000 0.5000 0.0000
0.0000 0.0000 0.0000
```

=====

What is the DFT total energy in the eighth record?
-8.0 eV/cell

=====

Among the records above, which one has the lowest formation energy (no corrections)?
number 8